Entry from OQMD: a relaxed BaCoOs crystal (PBE).

abc: 4.694 4.694 4.694
angles: 60.00 60.00 60.00
Atoms (fractional coordinates):
Ba 0.000 0.000 0.000
Co 0.750 0.750 0.750
Os 0.250 0.250 0.250

Summary:
Electronic total energy   -4.490 eV per atom
Calculated density   8.77 Mg/m³
Excess energy over the best structure of this formula in the dataset   915 meV/atom